VASP calculation (GGA-PBE) on a geometry-optimized Tl2AgTe2 structure.

a b c (Å): 4.8549 6.6306 11.2457
angles (deg): 98.06 77.53 68.52
With the nearest neighbours (Å) after each atom.
Element x y z (fractional)
Ag (0.2158, 0.9861, 0.5824)  4 Te 2.84-2.95, 2 Ag 3.06
Ag (0.7842, 0.0139, 0.4176)  4 Te 2.84-2.95, 2 Ag 3.06
Te (0.9950, 0.1636, 0.8465)  1 Ag 2.84
Te (0.0050, 0.8364, 0.1535)  1 Ag 2.84
Te (0.8489, 0.7157, 0.5864)  1 Te 2.87, 3 Ag 2.91-2.95
Te (0.1511, 0.2843, 0.4136)  1 Te 2.87, 3 Ag 2.91-2.95
Tl (0.4551, 0.3874, 0.7023)  4 Te 3.37-3.59, 3 Ag 3.41-3.49, 2 Tl 3.75
Tl (0.5449, 0.6126, 0.2977)  4 Te 3.37-3.59, 3 Ag 3.41-3.49, 2 Tl 3.75
Tl (0.3296, 0.2703, 0.0704)  1 Tl 3.32, 3 Te 3.39-3.40
Tl (0.6704, 0.7297, 0.9296)  1 Tl 3.32, 3 Te 3.39-3.40

Calculated values
The total energy is -29.6 eV per cell. As for the energy above the lowest structure with this stoichiometry: 0.000 eV/atom. The symmetry is C2/m. The total moment is 0.00 μB per cell. The uncorrected formation energy is -0.18 eV/atom.